(1)
Lu2CdRu after structural relaxation. Source: the Alexandria database, functional PBE.

Summary:
energy relative to the elements	-0.8	eV per formula unit
excess energy over the best structure of this formula in the dataset	283.0	meV/atom
symmetry	No. 166
total magnetization	0.001	μB per formula unit
DOS(E_F)	4.58	states/eV/f.u.

abc: 3.4962 3.4962 9.0212
angles: 78.83 78.83 60.00
Sites, in units of the cell vectors:
Lu 0.2627 0.2627 0.2118
Lu 0.7373 0.7373 0.7882
Ru 0.0000 0.0000 0.0000
Cd 0.5000 0.5000 0.5000



(2)
HoInHgBi after structural relaxation. Source: the Alexandria database, functional PBE.

Summary:
energy relative to the elements	-0.9	eV per formula unit
symmetry	No. 216
total magnetization	0.000	μB per formula unit
DOS(E_F)	2.49	states/eV/f.u.

abc: 5.4008 5.4008 5.4008
angles: 60.00 60.00 60.00
Sites, in units of the cell vectors:
Ho 0.7500 0.7500 0.7500
Bi 0.5000 0.5000 0.5000
Hg 0.0000 0.0000 0.0000
In 0.2500 0.2500 0.2500



(3)
DySiAu2 after structural relaxation. Source: the Alexandria database, functional PBE.

Summary:
symmetry	No. 8
total magnetization	0.000	μB per formula unit
formation energy without anion corrections	-0.43	eV per atom
DOS(E_F)	2.39	states/eV/f.u.

abc: 3.8678 4.9884 4.9884
angles: 113.48 101.04 101.04
Sites, in units of the cell vectors:
Au 0.0225 0.0068 0.3676
Au 0.0225 0.3676 0.0068
Dy 0.3406 0.7729 0.7729
Si 0.6146 0.3528 0.3528